Hf4TlNiC2 GGA-PBE optimized geometry; size of the total moment = 0.005 μB/f.u.; VASP energy = -8.859 eV/atom
1.0
3.304 0.000 0.000
-1.652 2.862 0.000
0.000 0.000 13.893
Hf Tl Ni C
4 1 1 2
direct
0.000 0.000 0.136
0.000 0.000 0.864
0.667 0.333 0.319
0.667 0.333 0.681
0.000 0.000 0.500
0.667 0.333 0.000
0.333 0.667 0.234
0.333 0.667 0.766



Hf4TlNiC2 GGA-PBE optimized geometry; size of the total moment = 0.013 μB/f.u.; VASP energy = -8.859 eV/atom
1.0
3.305 0.000 0.000
-1.652 2.862 0.000
0.000 0.000 13.898
Hf Tl Ni C
4 1 1 2
direct
0.000 0.000 0.136
0.000 0.000 0.864
0.333 0.667 0.319
0.333 0.667 0.681
0.000 0.000 0.500
0.333 0.667 0.000
0.667 0.333 0.234
0.667 0.333 0.766



Hf4Ni3W2C3 GGA-PBE optimized geometry; size of the total moment = 0.000 μB/f.u.; VASP energy = -9.595 eV/atom
1.0
4.757 -2.750 0.000
4.757 2.750 0.000
-3.261 0.000 12.802
Hf Ni W C
8 6 4 6
direct
0.042 0.198 0.110
0.122 0.298 0.390
0.198 0.042 0.610
0.298 0.122 0.890
0.702 0.878 0.110
0.802 0.958 0.390
0.878 0.702 0.610
0.958 0.802 0.890
0.149 0.851 0.250
0.317 0.417 0.751
0.417 0.317 0.251
0.583 0.683 0.749
0.683 0.583 0.249
0.851 0.149 0.750
0.354 0.528 0.081
0.472 0.646 0.419
0.528 0.354 0.581
0.646 0.472 0.919
0.000 0.500 0.000
0.167 0.667 0.500
0.333 0.833 0.000
0.500 0.000 0.500
0.667 0.167 0.000
0.833 0.333 0.500



Y2Hf4Ni3C3 GGA-PBE optimized geometry; size of the total moment = 0.007 μB/f.u.; VASP energy = -8.620 eV/atom
1.0
4.962 -2.868 0.000
4.962 2.868 0.000
-3.444 0.000 13.387
Y Hf Ni C
4 8 6 6
direct
0.041 0.877 0.619
0.123 0.959 0.881
0.877 0.041 0.119
0.959 0.123 0.381
0.197 0.359 0.092
0.295 0.476 0.408
0.359 0.197 0.592
0.476 0.295 0.908
0.524 0.705 0.092
0.641 0.803 0.408
0.705 0.524 0.592
0.803 0.641 0.908
0.086 0.414 0.750
0.414 0.086 0.250
0.414 0.586 0.250
0.586 0.414 0.750
0.586 0.914 0.750
0.914 0.586 0.250
0.000 0.500 0.500
0.174 0.651 0.000
0.349 0.826 0.500
0.500 0.000 0.000
0.651 0.174 0.500
0.826 0.349 0.000



Y4Hf2Ni3C3 GGA-PBE optimized geometry; size of the total moment = 0.027 μB/f.u.; VASP energy = -7.676 eV/atom
1.0
5.151 -2.985 0.000
5.151 2.985 0.000
-3.138 0.000 14.029
Y Hf Ni C
8 4 6 6
direct
0.038 0.189 0.099
0.129 0.303 0.401
0.189 0.038 0.599
0.303 0.129 0.901
0.697 0.871 0.099
0.811 0.962 0.401
0.871 0.697 0.599
0.962 0.811 0.901
0.355 0.526 0.089
0.474 0.645 0.411
0.526 0.355 0.589
0.645 0.474 0.911
0.068 0.932 0.750
0.111 0.420 0.750
0.420 0.111 0.250
0.580 0.889 0.750
0.889 0.580 0.250
0.932 0.068 0.250
0.000 0.500 0.000
0.209 0.646 0.500
0.354 0.791 0.000
0.500 0.000 0.500
0.646 0.209 0.000
0.791 0.354 0.500



Hf4ZnNiC2 GGA-PBE optimized geometry; size of the total moment = 0.000 μB/f.u.; VASP energy = -8.686 eV/atom
1.0
3.255 0.000 0.000
-1.628 2.819 0.000
0.000 0.000 13.645
Hf Zn Ni C
4 1 1 2
direct
0.000 0.000 0.141
0.000 0.000 0.859
0.667 0.333 0.331
0.667 0.333 0.669
0.000 0.000 0.500
0.667 0.333 0.000
0.333 0.667 0.240
0.333 0.667 0.760



Hf2Zr4Ni3C3 GGA-PBE optimized geometry; size of the total moment = 0.007 μB/f.u.; VASP energy = -8.657 eV/atom
1.0
4.894 -2.824 0.000
4.894 2.824 0.000
-3.275 0.000 13.457
Hf Zr Ni C
4 8 6 6
direct
0.035 0.869 0.603
0.131 0.965 0.897
0.869 0.035 0.103
0.965 0.131 0.397
0.198 0.365 0.094
0.301 0.469 0.406
0.365 0.198 0.594
0.469 0.301 0.906
0.531 0.699 0.094
0.635 0.802 0.406
0.699 0.531 0.594
0.802 0.635 0.906
0.084 0.393 0.750
0.393 0.084 0.250
0.432 0.568 0.250
0.568 0.432 0.750
0.607 0.916 0.750
0.916 0.607 0.250
0.000 0.500 0.500
0.160 0.680 0.000
0.320 0.840 0.500
0.500 0.000 0.000
0.680 0.160 0.500
0.840 0.320 0.000



HfNpC2 GGA-PBE optimized geometry; size of the total moment = 2.695 μB/f.u.; VASP energy = -10.698 eV/atom
1.0
3.395 0.000 0.000
0.000 3.395 0.000
0.000 0.000 4.789
Hf Np C
1 1 2
direct
0.000 0.000 0.000
0.500 0.500 0.500
0.000 0.000 0.500
0.500 0.500 0.000



HfOs3C GGA-PBE optimized geometry; size of the total moment = 0.000 μB/f.u.; VASP energy = -10.686 eV/atom
1.0
4.114 0.000 0.000
0.000 4.114 0.000
0.000 0.000 4.114
Hf Os C
1 3 1
direct
0.000 0.000 0.000
0.000 0.500 0.500
0.500 0.000 0.500
0.500 0.500 0.000
0.500 0.500 0.500



Hf4PC3 GGA-PBE optimized geometry; size of the total moment = 0.001 μB/f.u.; VASP energy = -10.152 eV/atom
1.0
3.356 0.000 0.000
-1.678 2.906 0.000
0.000 0.000 22.705
Hf P C
8 2 6
direct
0.000 0.000 0.171
0.000 0.000 0.329
0.000 0.000 0.671
0.000 0.000 0.829
0.333 0.667 0.057
0.333 0.667 0.443
0.667 0.333 0.557
0.667 0.333 0.943
0.333 0.667 0.250
0.667 0.333 0.750
0.000 0.000 0.000
0.000 0.000 0.500
0.333 0.667 0.619
0.333 0.667 0.881
0.667 0.333 0.119
0.667 0.333 0.381



Hf3PC2 GGA-PBE optimized geometry; size of the total moment = 0.000 μB/f.u.; VASP energy = -10.023 eV/atom
1.0
3.376 0.000 0.000
-1.688 2.924 0.000
0.000 0.000 17.369
Hf P C
6 2 4
direct
0.000 0.000 0.000
0.000 0.000 0.500
0.333 0.667 0.147
0.333 0.667 0.353
0.667 0.333 0.647
0.667 0.333 0.853
0.000 0.000 0.250
0.000 0.000 0.750
0.333 0.667 0.578
0.333 0.667 0.922
0.667 0.333 0.078
0.667 0.333 0.422



Hf4PPbC2 GGA-PBE optimized geometry; size of the total moment = 0.013 μB/f.u.; VASP energy = -9.303 eV/atom
1.0
3.393 0.000 0.000
-1.697 2.939 0.000
0.000 0.000 13.373
Hf P Pb C
4 1 1 2
direct
0.000 0.000 0.132
0.000 0.000 0.868
0.333 0.667 0.315
0.333 0.667 0.685
0.333 0.667 0.000
0.000 0.000 0.500
0.667 0.333 0.228
0.667 0.333 0.772



Q: What is the size of the total moment in the fourth record?
A: 0.007 μB/f.u.